Density functional theory data (PBE) for an optimized crystal structure of ScB2Pb.

```
ScB2Pb
1.0
6.4470 0.0000 0.0000
0.0000 6.4470 0.0000
3.2235 3.2235 3.2435
Sc Pb B
2 2 4
Cartesian
3.2235 3.2235 0.0000
3.2235 6.4470 1.6218
6.4470 3.2235 1.6218
0.0000 0.0000 0.0000
4.8665 1.6117 0.8109
4.8352 4.8040 2.4326
8.0587 8.0900 2.4326
1.5805 4.8352 0.8109
```

Calculated values
formation energy	869	meV/atom
total magnetic moment	0.00	Bohr magnetons per cell
E above lowest polymorph	0	meV/atom

Density functional theory data (PBE) for an optimized crystal structure of CeNdSn.

```
CeNdSn
1.0
-1.0757 5.0956 0.7724
-1.6026 2.9917 -4.0249
-9.1973 0.6696 0.7164
Ce Nd Sn
2 2 2
Cartesian
-5.9228 7.2956 -2.5491
-5.9529 1.4612 0.0130
-8.9962 3.6322 -0.6049
-2.8794 5.1246 -1.9312
-8.9744 6.5511 -1.8874
-2.9012 2.2057 -0.6487
```

Calculated values
formation energy	-297	meV/atom
total magnetic moment	2.94	Bohr magnetons per cell
E above lowest polymorph	266	meV/atom

Density functional theory data (PBE) for an optimized crystal structure of CaSb.

```
CaSb
1.0
5.4052 0.0000 0.0000
-2.7026 4.6811 0.0000
0.0000 0.0000 18.9829
Sb Ca
6 6
Cartesian
2.7026 1.5604 14.0885
0.0000 0.0000 1.4331
0.0000 3.1207 4.8944
0.0000 3.1207 7.7601
0.0000 0.0000 17.5498
2.7026 1.5604 11.2228
0.0000 0.0000 4.5479
2.7026 1.5604 8.1091
0.0000 0.0000 14.4350
0.0000 3.1207 10.8738
0.0000 3.1207 1.7810
2.7026 1.5604 17.2019
```

Calculated values
total magnetic moment	0.00	Bohr magnetons per cell
formation energy without anion corrections	-1.2	eV/f.u.

Density functional theory data (PBE) for an optimized crystal structure of Ti5NbIn2Co2.

```
Ti5NbIn2Co2
1.0
-1.6383 0.7283 -2.5745
-8.7010 -3.3397 4.5924
-1.6745 9.5384 3.7639
Ti In Co Nb
10 4 4 2
Cartesian
-9.3049 -0.7809 3.7890
-5.0970 1.7007 1.8131
-6.9169 5.2262 3.9686
-2.7090 7.7079 1.9928
-2.7324 0.2881 -0.0912
-1.6564 5.1333 0.5947
-5.1697 -1.3057 1.0089
-4.3102 4.7730 2.1816
-7.7036 2.1539 3.6002
-9.2815 6.6388 5.8730
-2.0804 2.4908 2.0285
-8.2951 3.7079 6.3277
-6.1862 -0.5732 3.7746
-4.1894 6.7718 4.5817
-2.1474 5.5519 2.9371
-8.2282 0.6468 5.4192
-6.9123 6.2424 6.1647
-3.4633 -0.0437 2.1916
-5.1878 3.0993 4.1781
0.0000 0.0000 0.0000
```

Calculated values
formation energy	-122	meV/atom
total magnetic moment	0.00	Bohr magnetons per cell

Number 1: raw total energy -4.980 eV per atom. Number 2: raw total energy -5.198 eV per atom. Number 3: raw total energy -3.676 eV per atom. Number 4: raw total energy -7.046 eV per atom.